Compound: NaCaTa
Source: Alexandria
Functional: GGA-PBE
Structure: optimized geometry

Computed properties:
N(E_F): 0.64 states/eV/atom
Formation energy: 0.449 eV per atom

abc: 3.211 4.717 11.724
angles: 90.73 95.54 96.98
Space group P-1 (No. 2)
Unique sites:
Na1 0.217 0.244 0.412 (multiplicity 2)
Ca1 0.367 0.269 0.795 (multiplicity 2)
Ta1 0.108 0.761 0.968 (multiplicity 2)

---

Compound: NaCaTa
Source: Alexandria
Functional: GGA-PBE
Structure: optimized geometry

Computed properties:
N(E_F): 1.43 states/eV/atom
Formation energy: 0.876 eV per atom

abc: 5.476 5.578 10.229
angles: 90.00 90.00 90.00
Space group Pnma (No. 62)
Unique sites:
Na1 0.015 0.250 0.037 (multiplicity 4)
Ca1 0.013 0.250 0.379 (multiplicity 4)
Ta1 0.246 0.250 0.748 (multiplicity 4)

---

Compound: NaCaTa
Source: Alexandria
Functional: GGA-PBE
Structure: optimized geometry

Computed properties:
N(E_F): 0.90 states/eV/atom
Formation energy: 0.520 eV per atom

abc: 8.033 4.638 10.349
angles: 90.00 90.01 90.00
Space group Cm (No. 8)
Unique sites:
Na1 0.000 0.000 0.000 (multiplicity 2)
Na2 0.167 0.500 0.778 (multiplicity 2)
Ca1 0.334 0.000 0.212 (multiplicity 2)
Ca2 0.334 0.000 0.566 (multiplicity 2)
Ta1 0.001 0.000 0.389 (multiplicity 2)
Ta2 0.168 0.500 0.389 (multiplicity 2)

---

Compound: NaCaTa
Source: Alexandria
Functional: GGA-PBE
Structure: optimized geometry

Computed properties:
N(E_F): 0.67 states/eV/atom
Formation energy: 1.023 eV per atom

abc: 5.6482 5.6482 2.8013
angles: 90.00 90.00 120.00
Space group P-6m2 (No. 187)
Unique sites:
Na1 0.0000 0.0000 0.0000 (multiplicity 1)
Ca1 0.3333 0.6667 0.5000 (multiplicity 1)
Ta1 0.6667 0.3333 0.5000 (multiplicity 1)

---

Compound: NaCaTa
Source: Alexandria
Functional: GGA-PBE
Structure: optimized geometry

Computed properties:
N(E_F): 0.77 states/eV/atom
Formation energy: 0.520 eV per atom

abc: 7.999 4.619 11.030
angles: 90.00 104.02 90.00
Space group C2/m (No. 12)
Unique sites:
Na1 0.204 0.000 0.112 (multiplicity 4)
Ca1 0.058 0.000 0.673 (multiplicity 4)
Ta1 0.166 0.500 0.500 (multiplicity 4)

---

Compound: NaCaTa
Source: Alexandria
Functional: GGA-PBE
Structure: optimized geometry

Computed properties:
N(E_F): 0.82 states/eV/atom
Formation energy: 0.239 eV per atom

abc: 3.578 3.581 14.191
angles: 90.00 90.02 90.00
Space group P2_1/m (No. 11)
Unique sites:
Na1 0.249 0.250 0.101 (multiplicity 2)
Ca1 0.250 0.250 0.692 (multiplicity 2)
Ta1 0.250 0.250 0.463 (multiplicity 2)

---

Compound: Na2CaTb
Source: Alexandria
Functional: GGA-PBE
Structure: optimized geometry

Computed properties:
N(E_F): 0.97 states/eV/atom
Formation energy: 0.276 eV per atom

abc: 3.5529 3.5529 40.6273
angles: 90.00 90.00 120.00
Space group R-3m (No. 166, hexagonal axes)
Unique sites:
Na1 0.0000 0.0000 0.0851 (multiplicity 6)
Ca1 0.0000 0.0000 0.5000 (multiplicity 3)
Tb1 0.0000 0.0000 0.0000 (multiplicity 3)

---

Compound: NaCaTb
Source: Alexandria
Functional: GGA-PBE
Structure: optimized geometry

Computed properties:
N(E_F): 0.95 states/eV/atom
Formation energy: 0.187 eV per atom

abc: 3.570 3.570 16.919
angles: 90.00 90.00 90.00
Space group I4mm (No. 107)
Unique sites:
Na1 0.000 0.000 0.000 (multiplicity 2)
Ca1 0.000 0.000 0.676 (multiplicity 2)
Tb1 0.000 0.000 0.336 (multiplicity 2)

---

Compound: NaCaTb
Source: Alexandria
Functional: GGA-PBE
Structure: optimized geometry

Computed properties:
N(E_F): 1.13 states/eV/atom
Formation energy: 0.165 eV per atom

abc: 3.6636 3.6636 9.3124
angles: 90.00 90.00 120.00
Space group P3m1 (No. 156)
Unique sites:
Na1 0.0000 0.0000 0.0000 (multiplicity 1)
Ca1 0.6667 0.3333 0.3494 (multiplicity 1)
Tb1 0.3333 0.6667 0.6697 (multiplicity 1)

---

Compound: NaCa2Tb3Te6
Source: Alexandria
Functional: GGA-PBE
Structure: optimized geometry

Computed properties:
E_form (uncorrected): -137.3 kJ per mole of atoms
N(E_F): 0.37 states/eV/atom

abc: 19.513 4.398 8.987
angles: 90.00 104.94 90.00
Space group C2/m (No. 12)
Unique sites:
Na1 0.000 0.000 0.000 (multiplicity 2)
Ca1 0.165 0.500 0.329 (multiplicity 4)
Tb1 0.000 0.000 0.500 (multiplicity 2)
Tb2 0.166 0.500 0.831 (multiplicity 4)
Te1 0.002 0.500 0.746 (multiplicity 4)
Te2 0.166 0.000 0.584 (multiplicity 4)
Te3 0.168 0.000 0.078 (multiplicity 4)

---

Compound: NaCa2TbTe4
Source: Alexandria
Functional: GGA-PBE
Structure: optimized geometry

Computed properties:
E_form (uncorrected): -140.1 kJ per mole of atoms

abc: 7.726 4.497 7.797
angles: 90.00 108.69 90.00
Space group P2/m (No. 10)
Unique sites:
Na1 0.000 0.000 0.000 (multiplicity 1)
Ca1 0.500 0.000 0.500 (multiplicity 1)
Ca2 0.500 0.500 0.000 (multiplicity 1)
Tb1 0.000 0.500 0.500 (multiplicity 1)
Te1 0.243 0.000 0.743 (multiplicity 2)
Te2 0.249 0.500 0.258 (multiplicity 2)

---

Compound: NaCaTb2Tl4
Source: Alexandria
Functional: GGA-PBE
Structure: optimized geometry

Computed properties:
N(E_F): 0.58 states/eV/atom
Formation energy: -0.304 eV per atom

abc: 5.3867 5.3867 26.5592
angles: 90.00 90.00 120.00
Space group R-3m (No. 166, hexagonal axes)
Unique sites:
Na1 0.0000 0.0000 0.0000 (multiplicity 3)
Ca1 0.0000 0.0000 0.5000 (multiplicity 3)
Tb1 0.0000 0.0000 0.2522 (multiplicity 6)
Tl1 0.0000 0.0000 0.1233 (multiplicity 6)
Tl2 0.0000 0.0000 0.3740 (multiplicity 6)

---

Compound: NaCa2Tc
Source: Alexandria
Functional: GGA-PBE
Structure: optimized geometry

Computed properties:
N(E_F): 1.63 states/eV/atom
Formation energy: 0.604 eV per atom

abc: 7.527 7.527 7.527
angles: 90.00 90.00 90.00
Space group Fm-3m (No. 225)
Unique sites:
Na1 0.000 0.000 0.000 (multiplicity 4)
Ca1 0.250 0.250 0.250 (multiplicity 8)
Tc1 0.000 0.000 0.500 (multiplicity 4)

---

Compound: NaCaTc3
Source: Alexandria
Functional: GGA-PBE
Structure: optimized geometry

Computed properties:
N(E_F): 1.00 states/eV/atom
Formation energy: 2.168 eV per atom

abc: 4.725 4.725 4.725
angles: 90.00 90.00 90.00
Space group Pm-3m (No. 221)
Unique sites:
Na1 0.000 0.000 0.000 (multiplicity 1)
Ca1 0.500 0.500 0.500 (multiplicity 1)
Tc1 0.000 0.000 0.500 (multiplicity 3)

---

Compound: NaCa2Tc
Source: Alexandria
Functional: GGA-PBE
Structure: optimized geometry

Computed properties:
N(E_F): 0.75 states/eV/atom
Formation energy: 1.155 eV per atom

abc: 7.951 7.951 11.262
angles: 90.00 90.00 90.00
Space group I-42d (No. 122)
Unique sites:
Na1 0.000 0.000 0.000 (multiplicity 4)
Ca1 0.001 0.750 0.625 (multiplicity 8)
Tc1 0.000 0.000 0.500 (multiplicity 4)

---

Compound: Na2CaVTc
Source: Alexandria
Functional: GGA-PBE
Structure: optimized geometry

Computed properties:
N(E_F): 1.18 states/eV/atom
Formation energy: 0.900 eV per atom

abc: 5.575 5.575 4.323
angles: 90.00 90.00 90.00
Space group P4/mmm (No. 123)
Unique sites:
Na1 0.000 0.500 0.000 (multiplicity 2)
Ca1 0.000 0.000 0.500 (multiplicity 1)
V1 0.500 0.500 0.000 (multiplicity 1)
Tc1 0.500 0.500 0.500 (multiplicity 1)

---

Compound: NaCaTe2
Source: Alexandria
Functional: GGA-PBE
Structure: optimized geometry

Computed properties:
E_form (uncorrected): -92.9 kJ per mole of atoms
N(E_F): 0.98 states/eV/atom

abc: 7.783 7.783 7.783
angles: 90.00 90.00 90.00
Space group Fm-3m (No. 225)
Unique sites:
Na1 0.000 0.000 0.000 (multiplicity 4)
Ca1 0.000 0.000 0.500 (multiplicity 4)
Te1 0.250 0.250 0.250 (multiplicity 8)

---

Compound: NaCa5Te6
Source: Alexandria
Functional: GGA-PBE
Structure: optimized geometry

Computed properties:
E_form (uncorrected): -139.2 kJ per mole of atoms
N(E_F): 0.51 states/eV/atom

abc: 7.832 13.580 7.827
angles: 90.00 109.52 90.00
Space group C2/m (No. 12)
Unique sites:
Na1 0.000 0.000 0.000 (multiplicity 2)
Ca1 0.000 0.165 0.500 (multiplicity 4)
Ca2 0.000 0.333 0.000 (multiplicity 4)
Ca3 0.000 0.500 0.500 (multiplicity 2)
Te1 0.246 0.500 0.252 (multiplicity 4)
Te2 0.247 0.331 0.747 (multiplicity 8)

---

Compound: NaCaTe2
Source: Alexandria
Functional: GGA-PBE
Structure: optimized geometry

Computed properties:
E_form (uncorrected): -95.6 kJ per mole of atoms
N(E_F): 0.46 states/eV/atom

abc: 4.040 4.040 7.269
angles: 90.00 90.00 90.00
Space group P4/mmm (No. 123)
Unique sites:
Na1 0.000 0.000 0.000 (multiplicity 1)
Ca1 0.000 0.000 0.500 (multiplicity 1)
Te1 0.500 0.500 0.261 (multiplicity 2)

---

Compound: Na4Ca2Te
Source: Alexandria
Functional: GGA-PBE
Structure: optimized geometry

Computed properties:
E_form (uncorrected): -5.6 kJ per mole of atoms
N(E_F): 0.64 states/eV/atom

abc: 5.584 5.584 21.302
angles: 90.00 90.00 90.00
Space group I4/mmm (No. 139)
Unique sites:
Na1 0.000 0.000 0.140 (multiplicity 4)
Na2 0.000 0.500 0.000 (multiplicity 4)
Ca1 0.000 0.000 0.302 (multiplicity 4)
Te1 0.000 0.000 0.000 (multiplicity 2)

---

Compound: Na2CaTe
Source: Alexandria
Functional: GGA-PBE
Structure: optimized geometry

Computed properties:
E_form (uncorrected): -54.0 kJ per mole of atoms
N(E_F): 0.35 states/eV/atom

abc: 4.509 4.509 26.796
angles: 90.00 90.00 90.00
Space group I-42d (No. 122)
Unique sites:
Na1 0.236 0.250 0.125 (multiplicity 8)
Ca1 0.000 0.000 0.500 (multiplicity 4)
Te1 0.000 0.000 0.000 (multiplicity 4)

---

Compound: NaCaTe2
Source: Alexandria
Functional: GGA-PBE
Structure: optimized geometry

Computed properties:
E_form (uncorrected): -93.5 kJ per mole of atoms
N(E_F): 0.24 states/eV/atom

abc: 8.384 8.384 7.190
angles: 90.00 90.00 90.00
Space group I-42d (No. 122)
Unique sites:
Na1 0.000 0.000 0.000 (multiplicity 4)
Ca1 0.000 0.000 0.500 (multiplicity 4)
Te1 0.248 0.250 0.125 (multiplicity 8)

---

Compound: NaCa4Te5
Source: Alexandria
Functional: GGA-PBE
Structure: optimized geometry

Computed properties:
E_form (uncorrected): -134.5 kJ per mole of atoms
N(E_F): 0.65 states/eV/atom

abc: 4.508 6.377 22.758
angles: 90.00 90.00 90.00
Space group Immm (No. 71)
Unique sites:
Na1 0.000 0.000 0.000 (multiplicity 2)
Ca1 0.000 0.000 0.200 (multiplicity 4)
Ca2 0.000 0.000 0.402 (multiplicity 4)
Te1 0.000 0.500 0.000 (multiplicity 2)
Te2 0.000 0.500 0.200 (multiplicity 4)
Te3 0.000 0.500 0.396 (multiplicity 4)

---

Compound: NaCaTe2
Source: Alexandria
Functional: GGA-PBE
Structure: optimized geometry

Computed properties:
E_form (uncorrected): -99.4 kJ per mole of atoms
N(E_F): 0.67 states/eV/atom

abc: 4.7304 4.7304 20.4458
angles: 90.00 90.00 120.00
Space group R3m (No. 160, hexagonal axes)
Unique sites:
Na1 0.0000 0.0000 0.0000 (multiplicity 3)
Ca1 0.0000 0.0000 0.1742 (multiplicity 3)
Te1 0.0000 0.0000 0.5877 (multiplicity 3)
Te2 0.0000 0.0000 0.7581 (multiplicity 3)

---

Compound: NaCaTe3
Source: Alexandria
Functional: GGA-PBE
Structure: optimized geometry

Computed properties:
E_form (uncorrected): -33.1 kJ per mole of atoms
N(E_F): 1.51 states/eV/atom

abc: 5.898 5.898 5.898
angles: 90.00 90.00 90.00
Space group Pm-3m (No. 221)
Unique sites:
Na1 0.000 0.000 0.000 (multiplicity 1)
Ca1 0.500 0.500 0.500 (multiplicity 1)
Te1 0.000 0.500 0.500 (multiplicity 3)

---

Compound: Na2CaThTe4
Source: Alexandria
Functional: GGA-PBE
Structure: optimized geometry

Computed properties:
E_form (uncorrected): -121.7 kJ per mole of atoms

abc: 7.842 4.574 7.949
angles: 90.00 108.93 90.00
Space group P2/m (No. 10)
Unique sites:
Na1 0.000 0.000 0.000 (multiplicity 1)
Na2 0.500 0.500 0.000 (multiplicity 1)
Ca1 0.000 0.500 0.500 (multiplicity 1)
Th1 0.500 0.000 0.500 (multiplicity 1)
Te1 0.251 0.000 0.736 (multiplicity 2)
Te2 0.260 0.500 0.262 (multiplicity 2)